(1)
VASP calculation (PBE) on crystalline Pr2Nd3HoSe6 at its relaxed geometry.

extended XYZ file:
```
12
Lattice="9.1717 -2.0966 0.0000 9.1717 2.0966 0.0000 -1.9190 0.0000 8.2619" Properties=species:S:1:pos:R:3 pbc="T T T"
Pr 2.4453 0.0000 2.7769
Pr 13.9792 0.0000 5.4850
Nd 1.5407 0.0000 6.8906
Nd 8.2122 0.0000 4.1309
Nd 14.8837 0.0000 1.3712
Ho 9.1717 0.0000 0.0000
Se -1.4269 0.0000 6.3000
Se 5.3496 0.0000 3.4295
Se 4.4609 0.0000 7.6154
Se 11.9635 0.0000 0.6464
Se 11.0748 0.0000 4.8324
Se 17.8513 0.0000 1.9618
```

Formation energy (no corrections): -1819 meV/atom



(2)
VASP calculation (PBE) on crystalline TaTlPbI2 at its relaxed geometry.

extended XYZ file:
```
5
Lattice="5.5669 0.0000 0.0000 0.0000 5.5669 0.0000 0.0000 0.0000 5.7076" Properties=species:S:1:pos:R:3 pbc="T T T"
Ta 0.0000 0.0000 0.0000
Tl 2.7834 2.7834 2.8538
Pb 0.0000 0.0000 2.8538
I 0.0000 2.7834 0.0000
I 2.7834 0.0000 0.0000
```

Formation energy (no corrections): 342 meV/atom



(3)
VASP calculation (PBE) on crystalline LiPrCdCu at its relaxed geometry.

extended XYZ file:
```
4
Lattice="0.0000 3.4556 3.4556 3.4556 0.0000 3.4556 3.4556 3.4556 0.0000" Properties=species:S:1:pos:R:3 pbc="T T T"
Li 0.0000 0.0000 0.0000
Pr 1.7278 1.7278 1.7278
Cd 5.1834 5.1834 5.1834
Cu 3.4556 3.4556 3.4556
```

Calculated formation energy: -0.161 eV per atom



(4)
VASP calculation (PBE) on crystalline Cr2RuW at its relaxed geometry.

extended XYZ file:
```
4
Lattice="-1.8712 1.8712 3.8994 1.8712 -1.8712 3.8994 1.8712 1.8712 -3.8994" Properties=species:S:1:pos:R:3 pbc="T T T"
Cr 0.0000 0.0000 0.0000
Cr 0.0000 1.8712 1.9497
Ru 1.8712 0.0000 1.9497
W 0.0000 0.0000 3.8994
```

Calculated formation energy: 0.257 eV per atom
Energy above the lowest structure with this stoichiometry: 170.8 meV per atom



(5)
VASP calculation (PBE) on crystalline SmB4Ir12 at its relaxed geometry.

extended XYZ file:
```
17
Lattice="-3.9225 3.9225 3.9225 3.9225 -3.9225 3.9225 3.9225 3.9225 -3.9225" Properties=species:S:1:pos:R:3 pbc="T T T"
Sm 0.0000 0.0000 0.0000
B 1.9612 1.9612 -1.9612
B 1.9612 -1.9612 1.9612
B -1.9612 1.9612 1.9612
B 1.9612 1.9612 1.9612
Ir 3.9225 -1.3721 2.5845
Ir 2.5503 1.3379 0.0000
Ir 5.2946 1.3379 0.0000
Ir 2.5845 3.9225 -1.3721
Ir 1.3379 0.0000 2.5503
Ir 0.0000 2.5503 1.3379
Ir 3.9225 1.3721 2.5845
Ir 2.5845 3.9225 1.3721
Ir 1.3379 0.0000 5.2946
Ir -1.3721 2.5845 3.9225
Ir 1.3721 2.5845 3.9225
Ir 0.0000 5.2946 1.3379
```

Calculated formation energy: 0.153 eV per atom



(6)
VASP calculation (PBE) on crystalline SmDyY3 at its relaxed geometry.

extended XYZ file:
```
10
Lattice="7.9944 0.0000 0.0000 0.0000 5.0636 0.0000 -0.0022 0.0000 7.9945" Properties=species:S:1:pos:R:3 pbc="T T T"
Sm 0.3904 1.2659 1.1944
Sm 7.6018 3.7977 6.8001
Dy 1.9988 1.2659 5.9949
Dy 5.9934 3.7977 1.9996
Y 1.1969 3.7977 3.5986
Y 2.8026 3.7977 0.4007
Y 3.6038 1.2659 2.8027
Y 4.3884 3.7977 5.1917
Y 5.1896 1.2659 7.5937
Y 6.7953 1.2659 4.3958
```

Calculated formation energy: 0.021 eV per atom
Energy above the lowest structure with this stoichiometry: 0.0 meV per atom



(7)
VASP calculation (PBE) on crystalline Na5In3Pb3 at its relaxed geometry.

extended XYZ file:
```
11
Lattice="10.5185 0.0000 0.0000 -5.2593 9.1093 0.0000 0.0000 0.0000 3.6290" Properties=species:S:1:pos:R:3 pbc="T T T"
Na -3.4457 5.9681 0.0000
Na 0.0000 6.0729 0.0000
Na 1.8135 3.1412 0.0000
Na 6.8914 0.0000 0.0000
Na 5.2593 3.0364 0.0000
In -0.8686 1.5045 0.0000
In 1.7372 0.0000 0.0000
In 4.3906 7.6048 0.0000
Pb -2.0955 3.6294 1.8145
Pb 4.1909 0.0000 1.8145
Pb 3.1638 5.4799 1.8145
```

Calculated formation energy: -0.021 eV per atom



(8)
VASP calculation (PBE) on crystalline Tb4Ce3PmP8 at its relaxed geometry.

extended XYZ file:
```
16
Lattice="4.0635 2.3461 6.6231 -4.0635 2.3461 6.6231 0.0000 -4.6921 6.6231" Properties=species:S:1:pos:R:3 pbc="T T T"
Tb 0.0000 0.0000 0.0000
Tb -2.0317 -1.1730 6.6231
Tb -2.0317 1.1730 13.2463
Tb 0.0000 2.3460 6.6231
Ce -4.0635 0.0000 9.9347
Ce -2.0317 1.1730 3.3116
Ce 2.0317 1.1730 3.3116
Pm 0.0000 0.0000 9.9347
P 0.0000 -2.3652 8.2626
P -2.0483 1.1826 8.2626
P -2.0483 -1.1826 11.6068
P 0.0000 0.0000 4.9812
P 0.0000 0.0000 14.8882
P 2.0483 1.1826 8.2626
P 2.0483 -1.1826 11.6068
P 0.0000 2.3652 11.6068
```

Calculated formation energy: -1.569 eV per atom